# 1
VASP calculation (GGA-PBE) on a geometry-optimized Pm2YEr5Th structure.

Cell lengths 9.7979, 9.7979, 9.7979 Å; angles 127.34, 127.34, 77.69 degrees
With the nearest neighbours (Å) after each atom.
Atoms (fractional coordinates):
1 Pm 0.1155 0.6155 0.7309  1 Pm 2.84, 2 Er 2.99
2 Pm 0.3845 0.1155 0.5000  1 Pm 2.84, 2 Er 2.99
3 Pm 0.6155 0.8845 0.5000  1 Pm 2.84, 2 Er 2.99
4 Pm 0.8845 0.3845 0.2691  1 Pm 2.84, 2 Er 2.99
5 Y 0.2500 0.7500 0.5000  4 Er 3.12
6 Y 0.7500 0.2500 0.5000  4 Er 3.12
7 Er 0.0000 0.0000 0.0000  4 Pm 3.49, 8 Er 3.76, 2 Th 3.82
8 Er 0.0746 0.1480 0.5000  1 Pm 2.99, 1 Y 3.12
9 Er 0.1480 0.6480 0.0734  1 Pm 2.99, 1 Y 3.12
10 Er 0.3520 0.4254 0.5000  1 Pm 2.99, 1 Y 3.12
11 Er 0.4254 0.9254 0.0734  1 Pm 2.99, 1 Y 3.12
12 Er 0.5000 0.5000 0.0000  4 Pm 3.49, 8 Er 3.76, 2 Th 3.82
13 Er 0.5746 0.0746 0.9266  1 Pm 2.99, 1 Y 3.12
14 Er 0.6480 0.5746 0.5000  1 Pm 2.99, 1 Y 3.12
15 Er 0.8520 0.3520 0.9266  1 Pm 2.99, 1 Y 3.12
16 Er 0.9254 0.8520 0.5000  1 Pm 2.99, 1 Y 3.12
17 Th 0.2500 0.2500 0.0000  10 Er 3.54-3.82
18 Th 0.7500 0.7500 0.0000  10 Er 3.54-3.82

Properties
Total magnetic moment in μB/f.u.: 0.00
Electronic total energy in eV/atom: -4.838
Formation enthalpy at 0 K in eV per atom: 0.295



# 2
VASP calculation (GGA-PBE) on a geometry-optimized Pm6Y3ErTh2 structure.

Cell lengths 6.2410, 6.2410, 11.9899 Å; angles 94.98, 94.98, 119.93 degrees
With the nearest neighbours (Å) after each atom.
Atoms (fractional coordinates):
1 Pm 0.0820 0.4177 0.7533  2 Th 3.58, 1 Er 3.59, 6 Pm 3.59-3.63, 3 Y 3.64-3.65
2 Pm 0.2461 0.2461 0.2471  2 Th 3.58, 6 Pm 3.59-3.63, 1 Er 3.59, 3 Y 3.63-3.65
3 Pm 0.4177 0.0820 0.7533  2 Th 3.58, 1 Er 3.59, 6 Pm 3.59-3.63, 3 Y 3.64-3.65
4 Pm 0.5823 0.9180 0.2467  2 Th 3.58, 1 Er 3.59, 6 Pm 3.59-3.63, 3 Y 3.64-3.65
5 Pm 0.7539 0.7539 0.7529  2 Th 3.58, 6 Pm 3.59-3.63, 1 Er 3.59, 3 Y 3.63-3.65
6 Pm 0.9180 0.5823 0.2467  2 Th 3.58, 1 Er 3.59, 6 Pm 3.59-3.63, 3 Y 3.64-3.65
7 Y 0.0000 0.0000 0.5000  6 Y 3.60-3.61, 6 Pm 3.63-3.65
8 Y 0.3333 0.6667 0.5000  6 Y 3.60-3.61, 6 Pm 3.64-3.65
9 Y 0.6667 0.3333 0.5000  6 Y 3.60-3.61, 6 Pm 3.64-3.65
10 Er 0.5000 0.5000 0.0000  6 Pm 3.59, 6 Th 3.60
11 Th 0.1664 0.8336 0.0000  6 Pm 3.58, 3 Th 3.60-3.61, 3 Er 3.60
12 Th 0.8336 0.1664 0.0000  6 Pm 3.58, 3 Th 3.60-3.61, 3 Er 3.60

Properties
Total magnetic moment in μB/f.u.: 0.00
Electronic total energy in eV/atom: -5.574
Formation enthalpy at 0 K in eV per atom: 0.034



# 3
VASP calculation (GGA-PBE) on a geometry-optimized Pm6YErTh2 structure.

Cell lengths 8.6985, 8.6985, 10.4107 Å; angles 97.10, 97.10, 117.59 degrees
With the nearest neighbours (Å) after each atom.
Atoms (fractional coordinates):
1 Pm 0.0176 0.5747 0.1745  6 Pm 3.44-3.84, 1 Er 3.48, 2 Th 3.49-3.77, 1 Y 3.64
2 Pm 0.1118 0.7413 0.5496  2 Th 3.44-3.69, 6 Pm 3.50-3.84, 1 Y 3.54, 1 Er 3.82
3 Pm 0.2587 0.8882 0.9504  2 Th 3.44-3.69, 6 Pm 3.50-3.84, 1 Y 3.54, 1 Er 3.82
4 Pm 0.3084 0.5059 0.3824  3 Th 3.32-3.61, 2 Er 3.42-3.72, 4 Pm 3.44-3.64
5 Pm 0.4253 0.9824 0.3255  6 Pm 3.44-3.84, 1 Er 3.48, 2 Th 3.49-3.77, 1 Y 3.64
6 Pm 0.4941 0.6916 0.1176  3 Th 3.32-3.61, 2 Er 3.42-3.72, 4 Pm 3.44-3.64
7 Pm 0.5059 0.3084 0.8824  3 Th 3.32-3.61, 2 Er 3.42-3.72, 4 Pm 3.44-3.64
8 Pm 0.5747 0.0176 0.6745  6 Pm 3.44-3.84, 1 Er 3.48, 2 Th 3.49-3.77, 1 Y 3.64
9 Pm 0.6916 0.4941 0.6176  3 Th 3.32-3.61, 2 Er 3.42-3.72, 4 Pm 3.44-3.64
10 Pm 0.7413 0.1118 0.0496  2 Th 3.44-3.69, 6 Pm 3.50-3.84, 1 Y 3.54, 1 Er 3.82
11 Pm 0.8882 0.2587 0.4504  2 Th 3.44-3.69, 6 Pm 3.50-3.84, 1 Y 3.54, 1 Er 3.82
12 Pm 0.9824 0.4253 0.8255  6 Pm 3.44-3.84, 1 Er 3.48, 2 Th 3.49-3.77, 1 Y 3.64
13 Y 0.0095 0.9905 0.2500  4 Th 3.29-3.37, 4 Pm 3.54-3.64
14 Y 0.9905 0.0095 0.7500  4 Th 3.29-3.37, 4 Pm 3.54-3.64
15 Er 0.4022 0.5978 0.7500  8 Pm 3.42-3.82, 2 Th 3.54
16 Er 0.5978 0.4022 0.2500  8 Pm 3.42-3.82, 2 Th 3.54
17 Th 0.1832 0.2676 0.0447  2 Y 3.29-3.37, 5 Pm 3.32-3.61, 1 Er 3.54
18 Th 0.2676 0.1832 0.5447  2 Y 3.29-3.37, 5 Pm 3.32-3.61, 1 Er 3.54
19 Th 0.7324 0.8168 0.4553  2 Y 3.29-3.37, 5 Pm 3.32-3.61, 1 Er 3.54
20 Th 0.8168 0.7324 0.9553  2 Y 3.29-3.37, 5 Pm 3.32-3.61, 1 Er 3.54

Properties
Total magnetic moment in μB/f.u.: 0.00
Electronic total energy in eV/atom: -5.284
Formation enthalpy at 0 K in eV per atom: 0.154



# 4
VASP calculation (GGA-PBE) on a geometry-optimized Pm2Y4Er2Th structure.

Cell lengths 9.5454, 9.5454, 9.5655 Å; angles 115.28, 115.28, 21.79 degrees
With the nearest neighbours (Å) after each atom.
Atoms (fractional coordinates):
1 Pm 0.1642 0.1642 0.0004  3 Y 3.51-3.53, 2 Th 3.57, 3 Er 3.58-3.59, 4 Pm 3.61-3.69
2 Pm 0.8358 0.8358 0.9996  3 Y 3.51-3.53, 2 Th 3.57, 3 Er 3.58-3.59, 4 Pm 3.61-3.69
3 Y 0.0183 0.0183 0.3310  1 Pm 3.51, 2 Th 3.53, 4 Er 3.54-3.62, 5 Y 3.58-3.61
4 Y 0.3150 0.3150 0.6663  3 Er 3.52-3.61, 2 Pm 3.53, 6 Y 3.55-3.61, 1 Th 3.55
5 Y 0.6850 0.6850 0.3337  3 Er 3.52-3.61, 2 Pm 3.53, 6 Y 3.55-3.61, 1 Th 3.55
6 Y 0.9817 0.9817 0.6690  1 Pm 3.51, 2 Th 3.53, 4 Er 3.54-3.62, 5 Y 3.58-3.61
7 Er 0.3523 0.3523 0.3362  7 Y 3.52-3.62, 3 Pm 3.58-3.59, 2 Er 3.61
8 Er 0.6477 0.6477 0.6638  7 Y 3.52-3.62, 3 Pm 3.58-3.59, 2 Er 3.61
9 Th 0.5000 0.5000 0.0000  6 Y 3.53-3.55, 4 Pm 3.57, 2 Th 3.61

Properties
Total magnetic moment in μB/f.u.: 0.00
Electronic total energy in eV/atom: -5.766
Formation enthalpy at 0 K in eV per atom: 0.001